#w
# BaLiCd2Ag

A geometry-optimized BaLiCd2Ag structure (PBE-GGA, the Alexandria database).

Computed properties:
Spin magnetization ... 0.00 μB per cell
Crystal system ... orthorhombic
SG ... Imm2 (44)

abc: 7.289 7.289 7.289
angles: 144.57 141.79 53.09
Element x y z (fractional)
Ba (0.000, 0.000, 0.000)
Li (0.258, 0.758, 0.500)
Cd (0.619, 0.619, 0.000)
Cd (0.766, 0.266, 0.500)
Ag (0.393, 0.393, 0.000)

---

#x
# BaLiCd2Ag

A geometry-optimized BaLiCd2Ag structure (PBE-GGA, the Alexandria database).

Computed properties:
Spin magnetization ... 0.00 μB per cell
Crystal system ... tetragonal
SG ... P4/mmm (123)

abc: 5.407 5.407 5.087
angles: 90.00 90.00 90.00
Element x y z (fractional)
Ba (0.000, 0.000, 0.000)
Li (0.500, 0.500, 0.000)
Cd (0.000, 0.500, 0.500)
Cd (0.500, 0.000, 0.500)
Ag (0.500, 0.500, 0.500)

---

#y
# BaLiCd2Ag

A geometry-optimized BaLiCd2Ag structure (PBE-GGA, the Alexandria database).

Computed properties:
Spin magnetization ... 0.00 μB per cell
Crystal system ... tetragonal
SG ... P4/mmm (123)

abc: 5.189 5.189 5.108
angles: 90.00 90.00 90.00
Element x y z (fractional)
Ba (0.000, 0.000, 0.000)
Li (0.500, 0.500, 0.500)
Cd (0.000, 0.500, 0.500)
Cd (0.500, 0.000, 0.500)
Ag (0.500, 0.500, 0.000)

---

Relative calculated energies, zero for the most stable structure, unit eV/atom: #w 0.000; #x 0.123; #y 0.111.

---

#w
# BaMgCdAg

A geometry-optimized BaMgCdAg structure (PBE-GGA, the Alexandria database).

Computed properties:
Spin magnetization ... 0.00 μB per cell
Crystal system ... trigonal
SG ... R3m (160)

abc: 6.483 6.483 6.483
angles: 44.73 44.73 44.73
Element x y z (fractional)
Ba (0.000, 0.000, 0.000)
Mg (0.489, 0.489, 0.489)
Cd (0.201, 0.201, 0.201)
Ag (0.804, 0.804, 0.804)

---

#x
# BaMgCdAg

A geometry-optimized BaMgCdAg structure (PBE-GGA, the Alexandria database).

Computed properties:
Spin magnetization ... 0.00 μB per cell
Crystal system ... cubic
SG ... F-43m (216)

abc: 5.469 5.469 5.469
angles: 60.00 60.00 60.00
Element x y z (fractional)
Ba (0.000, 0.000, 0.000)
Mg (0.500, 0.500, 0.500)
Cd (0.750, 0.750, 0.750)
Ag (0.250, 0.250, 0.250)

---

Relative calculated energies, zero for the most stable structure, unit eV/atom: #w 0.000; #x 0.107.

---

#w
# Ba2NaCdAg

A geometry-optimized Ba2NaCdAg structure (PBE-GGA, the Alexandria database).

Computed properties:
Spin magnetization ... 0.00 μB per cell
Crystal system ... tetragonal
SG ... P4/mmm (123)

abc: 6.471 6.471 5.388
angles: 90.00 90.00 90.00
Element x y z (fractional)
Ba (0.000, 0.500, 0.000)
Ba (0.500, 0.000, 0.000)
Na (0.000, 0.000, 0.500)
Cd (0.500, 0.500, 0.500)
Ag (0.500, 0.500, 0.000)

---

#x
# Ba2NaCdAg

A geometry-optimized Ba2NaCdAg structure (PBE-GGA, the Alexandria database).

Computed properties:
Spin magnetization ... 0.00 μB per cell
Crystal system ... tetragonal
SG ... P4/mmm (123)

abc: 6.419 6.419 5.483
angles: 90.00 90.00 90.00
Element x y z (fractional)
Ba (0.000, 0.500, 0.000)
Ba (0.500, 0.000, 0.000)
Na (0.000, 0.000, 0.500)
Cd (0.500, 0.500, 0.500)
Ag (0.000, 0.000, 0.000)

---

Relative calculated energies, zero for the most stable structure, unit eV/atom: #w 0.000; #x 0.046.

---

#w
# BaCdAg2Pd

A geometry-optimized BaCdAg2Pd structure (PBE-GGA, the Alexandria database).

Computed properties:
Spin magnetization ... 0.00 μB per cell
Crystal system ... orthorhombic
SG ... Imm2 (44)

abc: 6.985 6.985 6.985
angles: 142.87 142.14 54.07
Element x y z (fractional)
Ba (0.000, 0.000, 0.000)
Cd (0.263, 0.763, 0.500)
Ag (0.620, 0.620, 0.000)
Ag (0.764, 0.264, 0.500)
Pd (0.401, 0.401, 0.000)

---

#x
# BaCdAg2Pd

A geometry-optimized BaCdAg2Pd structure (PBE-GGA, the Alexandria database).

Computed properties:
Spin magnetization ... 0.00 μB per cell
Crystal system ... tetragonal
SG ... P4/mmm (123)

abc: 5.280 5.280 5.153
angles: 90.00 90.00 90.00
Element x y z (fractional)
Ba (0.000, 0.000, 0.000)
Cd (0.500, 0.500, 0.000)
Ag (0.000, 0.500, 0.500)
Ag (0.500, 0.000, 0.500)
Pd (0.500, 0.500, 0.500)

---

Relative calculated energies, zero for the most stable structure, unit eV/atom: #w 0.000; #x 0.167.

---

#w
# BaCd2AgPt

A geometry-optimized BaCd2AgPt structure (PBE-GGA, the Alexandria database).

Computed properties:
Spin magnetization ... 0.00 μB per cell
Crystal system ... orthorhombic
SG ... Imm2 (44)

abc: 7.243 7.243 7.243
angles: 145.05 143.52 51.41
Element x y z (fractional)
Ba (0.000, 0.000, 0.000)
Cd (0.370, 0.370, 0.000)
Cd (0.722, 0.222, 0.500)
Ag (0.221, 0.721, 0.500)
Pt (0.581, 0.581, 0.000)

---

#x
# BaCd2AgPt

A geometry-optimized BaCd2AgPt structure (PBE-GGA, the Alexandria database).

Computed properties:
Spin magnetization ... 0.00 μB per cell
Crystal system ... tetragonal
SG ... P4/mmm (123)

abc: 5.230 5.230 5.379
angles: 90.00 90.00 90.00
Element x y z (fractional)
Ba (0.000, 0.000, 0.000)
Cd (0.000, 0.500, 0.500)
Cd (0.500, 0.000, 0.500)
Ag (0.500, 0.500, 0.000)
Pt (0.500, 0.500, 0.500)

---

Relative calculated energies, zero for the most stable structure, unit eV/atom: #w 0.000; #x 0.095.

---

#w
# Ba2CdAgPt

A geometry-optimized Ba2CdAgPt structure (PBE-GGA, the Alexandria database).

Computed properties:
Spin magnetization ... 0.00 μB per cell
Crystal system ... monoclinic
SG ... P2_1/m (11)

abc: 8.353 4.781 8.650
angles: 90.00 112.71 90.00
Element x y z (fractional)
Ba (0.044, 0.250, 0.214)
Ba (0.351, 0.750, 0.625)
Ba (0.649, 0.250, 0.375)
Ba (0.956, 0.750, 0.786)
Cd (0.331, 0.250, 0.937)
Cd (0.669, 0.750, 0.063)
Ag (0.342, 0.750, 0.146)
Ag (0.658, 0.250, 0.854)
Pt (0.079, 0.250, 0.602)
Pt (0.921, 0.750, 0.398)

---

#x
# Ba2CdAgPt

A geometry-optimized Ba2CdAgPt structure (PBE-GGA, the Alexandria database).

Computed properties:
Spin magnetization ... 0.00 μB per cell
Crystal system ... tetragonal
SG ... P4/mmm (123)

abc: 6.080 6.080 5.250
angles: 90.00 90.00 90.00
Element x y z (fractional)
Ba (0.000, 0.500, 0.000)
Ba (0.500, 0.000, 0.000)
Cd (0.000, 0.000, 0.500)
Ag (0.500, 0.500, 0.500)
Pt (0.000, 0.000, 0.000)

---

#y
# Ba2CdAgPt

A geometry-optimized Ba2CdAgPt structure (PBE-GGA, the Alexandria database).

Computed properties:
Spin magnetization ... 0.00 μB per cell
Crystal system ... tetragonal
SG ... P4/mmm (123)

abc: 6.074 6.074 5.239
angles: 90.00 90.00 90.00
Element x y z (fractional)
Ba (0.000, 0.500, 0.000)
Ba (0.500, 0.000, 0.000)
Cd (0.000, 0.000, 0.500)
Ag (0.500, 0.500, 0.500)
Pt (0.500, 0.500, 0.000)

---

Relative calculated energies, zero for the most stable structure, unit eV/atom: #w 0.000; #x 0.118; #y 0.182.

---

#w
# Ba2CdAgRh

A geometry-optimized Ba2CdAgRh structure (PBE-GGA, the Alexandria database).

Computed properties:
Spin magnetization ... 0.00 μB per cell
Crystal system ... tetragonal
SG ... P4/mmm (123)

abc: 5.937 5.937 5.223
angles: 90.00 90.00 90.00
Element x y z (fractional)
Ba (0.000, 0.500, 0.000)
Ba (0.500, 0.000, 0.000)
Cd (0.000, 0.000, 0.500)
Ag (0.500, 0.500, 0.500)
Rh (0.000, 0.000, 0.000)

---

#x
# Ba2CdAgRh

A geometry-optimized Ba2CdAgRh structure (PBE-GGA, the Alexandria database).

Computed properties:
Spin magnetization ... 0.00 μB per cell
Crystal system ... tetragonal
SG ... P4/mmm (123)

abc: 5.870 5.870 5.246
angles: 90.00 90.00 90.00
Element x y z (fractional)
Ba (0.000, 0.500, 0.000)
Ba (0.500, 0.000, 0.000)
Cd (0.000, 0.000, 0.500)
Ag (0.500, 0.500, 0.500)
Rh (0.500, 0.500, 0.000)

---

Relative calculated energies, zero for the most stable structure, unit eV/atom: #w 0.000; #x 0.089.

---

#w
# BaCdSi2Ag

A geometry-optimized BaCdSi2Ag structure (PBE-GGA, the Alexandria database).

Computed properties:
Spin magnetization ... 0.00 μB per cell
Crystal system ... tetragonal
SG ... P4/mmm (123)

abc: 5.789 5.789 5.923
angles: 90.00 90.00 90.00
Element x y z (fractional)
Ba (0.000, 0.000, 0.000)
Cd (0.500, 0.500, 0.500)
Si (0.000, 0.500, 0.000)
Si (0.500, 0.000, 0.000)
Ag (0.000, 0.000, 0.500)

---

#x
# BaCdSi2Ag

A geometry-optimized BaCdSi2Ag structure (PBE-GGA, the Alexandria database).

Computed properties:
Spin magnetization ... 0.00 μB per cell
Crystal system ... tetragonal
SG ... P4/mmm (123)

abc: 5.069 5.069 5.250
angles: 90.00 90.00 90.00
Element x y z (fractional)
Ba (0.000, 0.000, 0.000)
Cd (0.500, 0.500, 0.000)
Si (0.000, 0.500, 0.500)
Si (0.500, 0.000, 0.500)
Ag (0.500, 0.500, 0.500)

---

Relative calculated energies, zero for the most stable structure, unit eV/atom: #w 1.198; #x 0.000.

---

#w
# BaZn2CdAg

A geometry-optimized BaZn2CdAg structure (PBE-GGA, the Alexandria database).

Computed properties:
Spin magnetization ... 0.00 μB per cell
Crystal system ... tetragonal
SG ... I-4m2 (119)

abc: 6.625 6.625 6.625
angles: 138.98 138.98 59.40
Element x y z (fractional)
Ba (0.000, 0.000, 0.000)
Zn (0.384, 0.384, 0.000)
Zn (0.616, 0.616, 0.000)
Cd (0.250, 0.750, 0.500)
Ag (0.750, 0.250, 0.500)

---

#x
# BaZn2CdAg

A geometry-optimized BaZn2CdAg structure (PBE-GGA, the Alexandria database).

Computed properties:
Spin magnetization ... 0.00 μB per cell
Crystal system ... tetragonal
SG ... P4/mmm (123)

abc: 5.079 5.079 5.322
angles: 90.00 90.00 90.00
Element x y z (fractional)
Ba (0.000, 0.000, 0.000)
Zn (0.000, 0.500, 0.500)
Zn (0.500, 0.000, 0.500)
Cd (0.500, 0.500, 0.000)
Ag (0.500, 0.500, 0.500)

---

Relative calculated energies, zero for the most stable structure, unit eV/atom: #w 0.000; #x 0.151.

---

#w
# BaZnCd2Ag

A geometry-optimized BaZnCd2Ag structure (PBE-GGA, the Alexandria database).

Computed properties:
Spin magnetization ... 0.00 μB per cell
Crystal system ... tetragonal
SG ... P4/mmm (123)

abc: 5.184 5.184 5.207
angles: 90.00 90.00 90.00
Element x y z (fractional)
Ba (0.000, 0.000, 0.000)
Zn (0.500, 0.500, 0.500)
Cd (0.000, 0.500, 0.500)
Cd (0.500, 0.000, 0.500)
Ag (0.500, 0.500, 0.000)

---

#x
# BaZnCd2Ag

A geometry-optimized BaZnCd2Ag structure (PBE-GGA, the Alexandria database).

Computed properties:
Spin magnetization ... 0.00 μB per cell
Crystal system ... tetragonal
SG ... P4/mmm (123)

abc: 5.355 5.355 5.093
angles: 90.00 90.00 90.00
Element x y z (fractional)
Ba (0.000, 0.000, 0.000)
Zn (0.500, 0.500, 0.000)
Cd (0.000, 0.500, 0.500)
Cd (0.500, 0.000, 0.500)
Ag (0.500, 0.500, 0.500)

---

Relative calculated energies, zero for the most stable structure, unit eV/atom: #w 0.000; #x 0.015.

---

#w
# BaZnCd2Ag

A geometry-optimized BaZnCd2Ag structure (PBE-GGA, the Alexandria database).

Computed properties:
Spin magnetization ... 0.00 μB per cell
Crystal system ... orthorhombic
SG ... Imm2 (44)

abc: 6.801 6.801 6.801
angles: 139.30 139.06 59.10
Element x y z (fractional)
Ba (0.000, 0.000, 0.000)
Zn (0.619, 0.619, 0.000)
Cd (0.383, 0.383, 0.000)
Cd (0.741, 0.241, 0.500)
Ag (0.238, 0.738, 0.500)

---

#x
# BaZnCd2Ag

A geometry-optimized BaZnCd2Ag structure (PBE-GGA, the Alexandria database).

Computed properties:
Spin magnetization ... 0.00 μB per cell
Crystal system ... tetragonal
SG ... P4/mmm (123)

abc: 5.130 5.130 6.209
angles: 90.00 90.00 90.00
Element x y z (fractional)
Ba (0.000, 0.000, 0.000)
Zn (0.000, 0.000, 0.500)
Cd (0.000, 0.500, 0.500)
Cd (0.500, 0.000, 0.500)
Ag (0.500, 0.500, 0.000)

---

Relative calculated energies, zero for the most stable structure, unit eV/atom: #w 0.000; #x 0.343.

---

#w
# BaZnCdAg2

A geometry-optimized BaZnCdAg2 structure (PBE-GGA, the Alexandria database).

Computed properties:
Spin magnetization ... 0.00 μB per cell
Crystal system ... tetragonal
SG ... P4/mmm (123)

abc: 5.157 5.157 5.105
angles: 90.00 90.00 90.00
Element x y z (fractional)
Ba (0.000, 0.000, 0.000)
Zn (0.500, 0.500, 0.500)
Cd (0.500, 0.500, 0.000)
Ag (0.000, 0.500, 0.500)
Ag (0.500, 0.000, 0.500)

---

#x
# BaZnCdAg2

A geometry-optimized BaZnCdAg2 structure (PBE-GGA, the Alexandria database).

Computed properties:
Spin magnetization ... 0.00 μB per cell
Crystal system ... orthorhombic
SG ... Imm2 (44)

abc: 6.711 6.711 6.711
angles: 139.36 139.16 58.98
Element x y z (fractional)
Ba (0.000, 0.000, 0.000)
Zn (0.619, 0.619, 0.000)
Cd (0.247, 0.747, 0.500)
Ag (0.391, 0.391, 0.000)
Ag (0.743, 0.243, 0.500)

---

Relative calculated energies, zero for the most stable structure, unit eV/atom: #w 0.132; #x 0.000.

---

#w
# BaAg2Cl

A geometry-optimized BaAg2Cl structure (PBE-GGA, the Alexandria database).

Computed properties:
Spin magnetization ... 0.00 μB per cell
Crystal system ... orthorhombic
SG ... Imm2 (44)

abc: 5.572 5.572 5.572
angles: 125.51 111.82 92.72
Element x y z (fractional)
Ba (0.000, 0.000, 0.000)
Ag (0.547, 0.547, 0.000)
Ag (0.678, 0.178, 0.500)
Cl (0.227, 0.727, 0.500)

---

#x
# BaAg2Cl

A geometry-optimized BaAg2Cl structure (PBE-GGA, the Alexandria database).

Computed properties:
Spin magnetization ... 0.00 μB per cell
Crystal system ... tetragonal
SG ... P4mm (99)

abc: 4.014 4.014 7.385
angles: 90.00 90.00 90.00
Element x y z (fractional)
Ba (0.000, 0.000, 0.000)
Ag (0.000, 0.000, 0.579)
Ag (0.500, 0.500, 0.633)
Cl (0.500, 0.500, 0.161)

---

Relative calculated energies, zero for the most stable structure, unit eV/atom: #w 0.086; #x 0.000.